[1]
GGA-PBEsol CaMgBe, relaxed; calculated formation energy = 1.17 eV/f.u.; relative energy among the computed polymorphs = 13.6 kJ/mol of atoms; DFT total energy = -0.0819 hartree per atom; spin magnetization = 0.0 μB/f.u.
1.0
-2.826 -3.739 -0.368
0.131 -2.674 -3.864
1.802 -4.338 0.203
Be Ca Mg
1 1 1
Direct
0.250 0.250 0.250 Be
0.000 0.000 0.000 Ca
0.500 0.500 0.500 Mg

***

[2]
GGA-PBEsol Zn2Hg, relaxed; calculated formation energy = 0.27 eV/f.u.; DFT total energy = -0.0424 hartree per atom; spin magnetization = 0.0 μB/f.u.
1.0
-3.513 3.620 1.391
-3.611 -1.113 3.620
0.265 2.222 4.731
Hg Zn
2 4
Direct
0.500 0.500 0.500 Hg
0.750 0.750 0.750 Hg
0.125 0.125 0.125 Zn
0.125 0.125 0.625 Zn
0.625 0.125 0.125 Zn
0.125 0.625 0.125 Zn

***

[3]
GGA-PBEsol BaAl3Ge, relaxed; calculated formation energy = 8.24 eV/f.u.; DFT total energy = -0.0817 hartree per atom; spin magnetization = 0.0 μB/f.u.
1.0
-4.229 3.685 0.879
-3.443 -4.288 1.414
1.582 0.520 5.428
Ge Ba Al
1 1 3
Direct
0.500 0.500 0.500 Ge
0.000 0.000 0.000 Ba
0.000 0.500 0.000 Al
0.000 0.000 0.500 Al
0.500 0.000 0.000 Al

***

[4]
GGA-PBEsol MgPtW2, relaxed; calculated formation energy = 0.65 eV/f.u.; DFT total energy = -0.3275 hartree per atom; spin magnetization = 0.0 μB/f.u.
1.0
2.705 0.000 0.000
0.000 4.361 0.000
0.000 0.000 5.275
Mg Pt W
1 1 2
Direct
0.500 0.500 0.000 Mg
0.500 0.500 0.500 Pt
0.000 0.000 0.755 W
0.000 0.000 0.245 W

***

[5]
GGA-PBEsol Zr6Ni20P13, relaxed; calculated formation energy = -38.00 eV/f.u.; DFT total energy = -0.2742 hartree per atom; spin magnetization = 0.0 μB/f.u.
1.0
3.598 0.000 0.000
0.000 12.339 0.000
0.000 -6.170 10.686
Ni P Zr
20 13 6
Direct
0.000 0.342 0.254 Ni
0.000 0.912 0.658 Ni
0.000 0.746 0.088 Ni
0.500 0.990 0.405 Ni
0.500 0.416 0.010 Ni
0.500 0.595 0.584 Ni
0.000 0.105 0.354 Ni
0.000 0.249 0.895 Ni
0.000 0.646 0.751 Ni
0.500 0.230 0.312 Ni
0.500 0.082 0.770 Ni
0.500 0.688 0.918 Ni
0.500 0.507 0.251 Ni
0.500 0.744 0.493 Ni
0.500 0.749 0.256 Ni
0.000 0.866 0.439 Ni
0.000 0.573 0.134 Ni
0.000 0.561 0.427 Ni
0.500 0.333 0.667 Ni
0.000 0.000 0.000 Ni
0.000 0.140 0.194 P
0.000 0.053 0.860 P
0.000 0.806 0.947 P
0.500 0.193 0.474 P
0.500 0.280 0.807 P
0.500 0.526 0.720 P
0.000 0.381 0.100 P
0.000 0.720 0.619 P
0.000 0.900 0.280 P
0.500 0.952 0.566 P
0.500 0.615 0.048 P
0.500 0.434 0.385 P
0.000 0.667 0.333 P
0.000 0.384 0.524 Zr
0.000 0.140 0.616 Zr
0.000 0.476 0.860 Zr
0.500 0.949 0.142 Zr
0.500 0.193 0.051 Zr
0.500 0.858 0.807 Zr

***

[6]
GGA-PBEsol BMoWS2, relaxed; E_form (uncorrected) = 7.20 eV per formula unit; DFT total energy = -0.2510 hartree per atom; spin magnetization = 3.2 μB/f.u.
1.0
4.040 0.000 0.000
0.000 4.573 0.000
0.000 0.000 4.573
Mo B S W
1 1 2 1
Direct
0.000 0.000 0.000 Mo
0.500 0.000 0.000 B
0.000 0.000 0.500 S
0.000 0.500 0.000 S
0.500 0.500 0.500 W

***

[7]
GGA-PBEsol Rb2NiO2, relaxed; E_form (uncorrected) = -5.43 eV per formula unit; DFT total energy = -0.1774 hartree per atom; spin magnetization = 2.1 μB/f.u.
1.0
4.111 0.000 0.000
0.000 4.111 0.000
-2.056 -2.056 6.482
Ni Rb O
1 2 2
Direct
0.000 0.000 0.000 Ni
0.651 0.651 0.301 Rb
0.349 0.349 0.699 Rb
0.130 0.130 0.260 O
0.870 0.870 0.740 O

***

[8]
GGA-PBEsol Al2Ag, relaxed; calculated formation energy = 0.65 eV/f.u.; DFT total energy = -0.1328 hartree per atom; spin magnetization = 0.0 μB/f.u.
1.0
-2.826 2.862 -3.404
0.494 -0.823 -5.181
-3.932 -2.241 -2.699
Al Ag
4 2
Direct
0.125 0.125 0.125 Al
0.125 0.125 0.625 Al
0.125 0.625 0.125 Al
0.625 0.125 0.125 Al
0.500 0.500 0.500 Ag
0.750 0.750 0.750 Ag

***

[9]
GGA-PBEsol Na3MnRe, relaxed; calculated formation energy = 10.91 eV/f.u.; DFT total energy = -0.1204 hartree per atom; spin magnetization = 0.3 μB/f.u.
1.0
-3.482 2.177 3.458
-4.037 -1.133 -3.353
-0.630 -4.775 2.372
Re Mn Na
1 1 3
Direct
0.500 0.500 0.500 Re
0.000 0.000 0.000 Mn
0.000 0.500 0.000 Na
0.000 0.000 0.500 Na
0.500 0.000 0.000 Na

***

[10]
GGA-PBEsol NiRu3O, relaxed; E_form (uncorrected) = 1.95 eV per formula unit; DFT total energy = -0.2938 hartree per atom; spin magnetization = 1.4 μB/f.u.
1.0
3.934 0.000 0.000
0.000 3.934 0.000
0.000 0.000 3.934
Ru O Ni
3 1 1
Direct
0.000 0.500 0.000 Ru
0.000 0.000 0.500 Ru
0.500 0.000 0.000 Ru
0.000 0.000 0.000 O
0.500 0.500 0.500 Ni

***

[11]
GGA-PBEsol Ag3Te, relaxed; E_form (uncorrected) = 0.24 eV per formula unit; relative energy among the computed polymorphs = 4.0 kJ/mol of atoms; DFT total energy = -0.1214 hartree per atom; spin magnetization = 0.0 μB/f.u.
1.0
4.666 0.000 0.000
0.000 5.658 0.000
0.000 0.000 5.900
Te Ag
2 6
Direct
0.000 0.353 0.000 Te
0.500 0.647 0.500 Te
0.500 0.710 0.000 Ag
0.000 0.290 0.500 Ag
0.000 0.854 0.753 Ag
0.000 0.854 0.247 Ag
0.500 0.146 0.253 Ag
0.500 0.146 0.747 Ag

***

[12]
GGA-PBEsol BaCa2La, relaxed; calculated formation energy = 0.36 eV/f.u.; relative energy among the computed polymorphs = 0.3 kJ/mol of atoms; DFT total energy = -0.1048 hartree per atom; spin magnetization = 0.0 μB/f.u.
1.0
3.852 0.000 0.000
1.926 3.336 0.000
1.926 1.112 12.962
Ca Ba La
2 1 1
Direct
0.246 0.246 0.263 Ca
0.754 0.754 0.737 Ca
0.000 0.000 0.000 Ba
0.500 0.500 0.500 La